The following is a PBE calculation of DyHoPdRu after structural relaxation, from Alexandria via LeMat-Bulk.

Geometry as CIF:
```
data_DyHoPdRu
_cell_length_a 3.440
_cell_length_b 3.440
_cell_length_c 6.910
_cell_angle_alpha 90.00
_cell_angle_beta 90.00
_cell_angle_gamma 90.00
_symmetry_space_group_name_H-M 'P 4 m m'
_symmetry_Int_Tables_number 99
_symmetry_space_group_name_Hall 'P 4 -2'
loop_
_atom_site_label
_atom_site_fract_x
_atom_site_fract_y
_atom_site_fract_z
Dy1 0.000 0.000 0.000
Ho1 0.000 0.000 0.520
Pd1 0.500 0.500 0.262
Ru1 0.500 0.500 0.759
```

- distance to the lowest polymorph of the same formula (meV per atom) = 0.0
- DFT formation energy (eV per atom) = -0.694
- final energy (eV per cell) = -26.4
- DOS(E_F) (states/eV/atom) = 0.456


The following is a PBE calculation of DyHoPdRu after structural relaxation, from Alexandria via LeMat-Bulk.

Geometry as CIF:
```
data_DyHoPdRu
_cell_length_a 6.879
_cell_length_b 6.879
_cell_length_c 6.879
_cell_angle_alpha 90.00
_cell_angle_beta 90.00
_cell_angle_gamma 90.00
_symmetry_space_group_name_H-M 'F -4 3 m'
_symmetry_Int_Tables_number 216
_symmetry_space_group_name_Hall 'F -4 2 3'
loop_
_atom_site_label
_atom_site_fract_x
_atom_site_fract_y
_atom_site_fract_z
Dy1 0.000 0.000 0.000
Ho1 0.000 0.000 0.500
Pd1 0.250 0.250 0.250
Ru1 0.250 0.250 0.750
```

- distance to the lowest polymorph of the same formula (meV per atom) = 34.4
- DFT formation energy (eV per atom) = -0.659
- final energy (eV per cell) = -105.1
- DOS(E_F) (states/eV/atom) = 0.458


The following is a PBE calculation of DyHoScPd after structural relaxation, from Alexandria via LeMat-Bulk.

Geometry as CIF:
```
data_DyHoScPd
_cell_length_a 7.274
_cell_length_b 7.274
_cell_length_c 7.274
_cell_angle_alpha 90.00
_cell_angle_beta 90.00
_cell_angle_gamma 90.00
_symmetry_space_group_name_H-M 'F -4 3 m'
_symmetry_Int_Tables_number 216
_symmetry_space_group_name_Hall 'F -4 2 3'
loop_
_atom_site_label
_atom_site_fract_x
_atom_site_fract_y
_atom_site_fract_z
Dy1 0.000 0.000 0.000
Ho1 0.000 0.000 0.500
Sc1 0.250 0.250 0.750
Pd1 0.250 0.250 0.250
```

- DFT formation energy (eV per atom) = -0.193
- final energy (eV per cell) = -85.9
- DOS(E_F) (states/eV/atom) = 1.085


> What is the DOS(E_F) in the third record?

1.085 states/eV/atom


> Which formula does entry 2 have?

DyHoPdRu


> DFT formation energy of number 2 (DyHoPdRu)?

-0.659 eV per atom


> Look up the final energy of the second one.

-105.1 eV per cell